Entry from OQMD: an optimized crystal structure of PmSmTe (PBE).

```
PmSmTe
1.0
7.306 0.000 0.000
0.000 7.306 0.000
0.000 0.000 7.306
Pm Sm Te
4 4 4
Direct
0.000 0.000 0.000
0.000 0.500 0.500
0.500 0.000 0.500
0.500 0.500 0.000
0.000 0.000 0.500
0.000 0.500 0.000
0.500 0.000 0.000
0.500 0.500 0.500
0.250 0.250 0.250
0.250 0.750 0.750
0.750 0.250 0.750
0.750 0.750 0.250
```

Values from the calculation:
The value obtained for the volume is 390 Å³ per cell. As for the total energy: -4.848 eV/atom.